Entry from the Alexandria database: a relaxed structure of La3Sb2 (GGA-PBE).

Output
- Formation energy without anion corrections: -914 meV per atom
- Offset from the most stable computed form: 7 meV per atom

a = 5.469 Å, b = 5.469 Å, c = 6.730 Å
α = 90.00°, β = 90.00°, γ = 120.00°
Atoms (fractional coordinates):
1 La 0.000 0.000 0.000
2 La 0.333 0.667 0.306
3 La 0.667 0.333 0.694
4 Sb 0.333 0.667 0.795
5 Sb 0.667 0.333 0.205

Entry from the Alexandria database: a relaxed structure of CdTc2Mo (GGA-PBE).

Output
- Calculated formation energy: 0.338 eV per atom

a = 2.893 Å, b = 3.950 Å, c = 5.806 Å
α = 90.00°, β = 90.00°, γ = 90.00°
Atoms (fractional coordinates):
1 Cd 0.000 0.000 0.000
2 Tc 0.500 0.500 0.291
3 Tc 0.500 0.500 0.709
4 Mo 0.000 0.000 0.500

Entry from the Alexandria database: a relaxed structure of Nd2HSe3 (GGA-PBE).

a = 11.484 Å, b = 4.076 Å, c = 11.453 Å
α = 90.00°, β = 90.00°, γ = 90.00°
Atoms (fractional coordinates):
1 Nd 0.039 0.250 0.181
2 Nd 0.200 0.250 0.513
3 Nd 0.300 0.750 0.013
4 Nd 0.461 0.750 0.681
5 Nd 0.539 0.250 0.319
6 Nd 0.700 0.250 0.987
7 Nd 0.800 0.750 0.487
8 Nd 0.961 0.750 0.819
9 H 0.130 0.750 0.126
10 H 0.370 0.250 0.626
11 H 0.630 0.750 0.374
12 H 0.870 0.250 0.874
13 Se 0.052 0.750 0.381
14 Se 0.123 0.250 0.933
15 Se 0.204 0.750 0.708
16 Se 0.296 0.250 0.208
17 Se 0.377 0.750 0.433
18 Se 0.448 0.250 0.881
19 Se 0.552 0.750 0.119
20 Se 0.623 0.250 0.567
21 Se 0.704 0.750 0.792
22 Se 0.796 0.250 0.292
23 Se 0.877 0.750 0.067
24 Se 0.948 0.250 0.619

Entry from the Alexandria database: a relaxed structure of In4CuSi (GGA-PBE).

Output
- Formation energy without anion corrections: 630 meV per atom

a = 5.987 Å, b = 5.987 Å, c = 5.987 Å
α = 60.00°, β = 60.00°, γ = 60.00°
Atoms (fractional coordinates):
1 In 0.125 0.125 0.125
2 In 0.125 0.125 0.625
3 In 0.125 0.625 0.125
4 In 0.625 0.125 0.125
5 Cu 0.500 0.500 0.500
6 Si 0.750 0.750 0.750

Entry from the Alexandria database: a relaxed structure of PmSmAs2 (GGA-PBE).

Output
- Calculated formation energy: -1.072 eV per atom
- Offset from the most stable computed form: 456 meV per atom

a = 5.168 Å, b = 5.168 Å, c = 5.168 Å
α = 60.00°, β = 60.00°, γ = 60.00°
Atoms (fractional coordinates):
1 Pm 0.000 0.000 0.000
2 Sm 0.500 0.500 0.500
3 As 0.250 0.250 0.250
4 As 0.750 0.750 0.750

Entry from the Alexandria database: a relaxed structure of AcYCuS4 (GGA-PBE).

Output
- Formation energy without anion corrections: -1547 meV per atom

a = 6.776 Å, b = 5.775 Å, c = 8.209 Å
α = 90.00°, β = 107.28°, γ = 90.00°
Atoms (fractional coordinates):
1 Ac 0.236 0.250 0.434
2 Ac 0.764 0.750 0.566
3 Y 0.235 0.250 0.937
4 Y 0.765 0.750 0.063
5 Cu 0.256 0.750 0.184
6 Cu 0.744 0.250 0.816
7 S 0.068 0.750 0.375
8 S 0.068 0.750 0.904
9 S 0.484 0.513 0.765
10 S 0.484 0.987 0.765
11 S 0.516 0.013 0.235
12 S 0.516 0.487 0.235
13 S 0.932 0.250 0.096
14 S 0.932 0.250 0.625

Entry from the Alexandria database: a relaxed structure of AlCu2Ni2 (GGA-PBE).

Output
- Calculated formation energy: 0.178 eV per atom
- Offset from the most stable computed form: 421 meV per atom

a = 6.315 Å, b = 6.315 Å, c = 6.315 Å
α = 149.28°, β = 149.28°, γ = 44.00°
Atoms (fractional coordinates):
1 Al 0.000 0.000 0.000
2 Cu 0.400 0.400 0.000
3 Cu 0.600 0.600 0.000
4 Ni 0.250 0.750 0.500
5 Ni 0.750 0.250 0.500

Entry from the Alexandria database: a relaxed structure of Al5N3O3 (GGA-PBE).

Output
- Formation energy without anion corrections: -2046 meV per atom

a = 3.082 Å, b = 9.367 Å, c = 4.411 Å
α = 90.00°, β = 90.00°, γ = 90.00°
Atoms (fractional coordinates):
1 Al 0.000 0.000 0.000
2 Al 0.000 0.335 0.010
3 Al 0.000 0.665 0.010
4 Al 0.500 0.165 0.504
5 Al 0.500 0.835 0.504
6 N 0.000 0.169 0.750
7 N 0.000 0.831 0.750
8 N 0.500 0.000 0.253
9 O 0.000 0.500 0.848
10 O 0.500 0.307 0.229
11 O 0.500 0.693 0.229

Entry from the Alexandria database: a relaxed structure of HfCuPb2Se (GGA-PBE).

Output
- Formation energy without anion corrections: 640 meV per atom

a = 5.789 Å, b = 5.789 Å, c = 4.273 Å
α = 90.00°, β = 90.00°, γ = 90.00°
Atoms (fractional coordinates):
1 Hf 0.000 0.000 0.000
2 Cu 0.500 0.500 0.000
3 Pb 0.000 0.500 0.500
4 Pb 0.500 0.000 0.500
5 Se 0.500 0.500 0.500

Entry from the Alexandria database: a relaxed structure of Ti2AlS4 (GGA-PBE).

Output
- Formation energy without anion corrections: -1224 meV per atom

a = 6.635 Å, b = 6.635 Å, c = 6.084 Å
α = 115.72°, β = 115.72°, γ = 29.56°
Atoms (fractional coordinates):
1 Ti 0.241 0.241 0.196
2 Ti 0.759 0.759 0.804
3 Al 0.500 0.500 0.500
4 S 0.132 0.132 0.472
5 S 0.392 0.392 0.061
6 S 0.608 0.608 0.939
7 S 0.868 0.868 0.528

Entry from the Alexandria database: a relaxed structure of PuZrCuRh (GGA-PBE).

Output
- Calculated formation energy: -0.226 eV per atom

a = 4.771 Å, b = 4.771 Å, c = 4.771 Å
α = 60.00°, β = 60.00°, γ = 60.00°
Atoms (fractional coordinates):
1 Pu 0.000 0.000 0.000
2 Zr 0.500 0.500 0.500
3 Cu 0.750 0.750 0.750
4 Rh 0.250 0.250 0.250

Entry from the Alexandria database: a relaxed structure of Ir2PtN2 (GGA-PBE).

Output
- Formation energy without anion corrections: 1408 meV per atom
- Offset from the most stable computed form: 627 meV per atom

a = 6.812 Å, b = 6.812 Å, c = 2.700 Å
α = 90.00°, β = 90.00°, γ = 90.00°
Atoms (fractional coordinates):
1 Ir 0.137 0.363 0.000
2 Ir 0.363 0.863 0.000
3 Ir 0.637 0.137 0.000
4 Ir 0.863 0.637 0.000
5 Pt 0.000 0.000 0.000
6 Pt 0.500 0.500 0.000
7 N 0.122 0.622 0.500
8 N 0.378 0.122 0.500
9 N 0.622 0.878 0.500
10 N 0.878 0.378 0.500

How do the records compare in raw total energy? In the order shown, they have -5.519, -7.782, -5.289, -2.783, -5.764, -6.001, -4.522, -7.370, -4.350, -6.373, -8.808, -6.674 eV per atom.